# Cs4TlSn3Br12, relaxed, DFT GGA-PBE
# Formation energy from raw total energies in meV per atom: -1202
# Total magnetic moment in μB per formula unit: 0.0
# Crystal system: cubic
data_Cs4TlSn3Br12
_chemical_formula_sum 'Cs4 Tl1 Sn3 Br12'
_cell_length_a 10.198
_cell_length_b 10.198
_cell_length_c 10.198
_cell_angle_alpha 109.47
_cell_angle_beta 109.47
_cell_angle_gamma 109.47
_symmetry_space_group_name_H-M 'P 1'
_symmetry_Int_Tables_number 1
_symmetry_space_group_name_Hall 'P 1'
loop_
_atom_site_label
_atom_site_fract_x
_atom_site_fract_y
_atom_site_fract_z
_atom_site_occupancy
Cs1 0.000 0.000 0.500 1
Cs2 0.000 0.500 0.000 1
Cs3 0.500 0.000 0.000 1
Cs4 0.500 0.500 0.500 1
Tl1 0.000 0.000 0.000 1
Sn1 0.000 0.500 0.500 1
Sn2 0.500 0.000 0.500 1
Sn3 0.500 0.500 0.000 1
Br1 0.000 0.259 0.259 1
Br2 0.000 0.741 0.741 1
Br3 0.250 0.500 0.750 1
Br4 0.250 0.750 0.500 1
Br5 0.259 0.000 0.259 1
Br6 0.259 0.259 0.000 1
Br7 0.500 0.250 0.750 1
Br8 0.500 0.750 0.250 1
Br9 0.741 0.000 0.741 1
Br10 0.741 0.741 0.000 1
Br11 0.750 0.250 0.500 1
Br12 0.750 0.500 0.250 1

---

# CsTmSn2Br8, relaxed, DFT GGA-PBE
# Formation energy from raw total energies in meV per atom: -1273
# Total magnetic moment in μB per formula unit: 0.0
# Crystal system: triclinic
data_CsTmSn2Br8
_chemical_formula_sum 'Cs1 Tm1 Sn2 Br8'
_cell_length_a 6.844
_cell_length_b 7.339
_cell_length_c 9.855
_cell_angle_alpha 83.08
_cell_angle_beta 85.95
_cell_angle_gamma 86.17
_symmetry_space_group_name_H-M 'P 1'
_symmetry_Int_Tables_number 1
_symmetry_space_group_name_Hall 'P 1'
loop_
_atom_site_label
_atom_site_fract_x
_atom_site_fract_y
_atom_site_fract_z
_atom_site_occupancy
Cs1 0.000 0.000 0.000 1
Tm1 0.000 0.000 0.500 1
Sn1 0.473 0.478 0.256 1
Sn2 0.527 0.522 0.744 1
Br1 0.220 0.317 0.469 1
Br2 0.241 0.844 0.304 1
Br3 0.250 0.855 0.702 1
Br4 0.261 0.396 0.055 1
Br5 0.739 0.604 0.945 1
Br6 0.750 0.145 0.298 1
Br7 0.759 0.156 0.696 1
Br8 0.780 0.683 0.531 1

---

Copy entry 2 word for word.
# CsTmSn2Br8, relaxed, DFT GGA-PBE
# Formation energy from raw total energies in meV per atom: -1273
# Total magnetic moment in μB per formula unit: 0.0
# Crystal system: triclinic
data_CsTmSn2Br8
_chemical_formula_sum 'Cs1 Tm1 Sn2 Br8'
_cell_length_a 6.844
_cell_length_b 7.339
_cell_length_c 9.855
_cell_angle_alpha 83.08
_cell_angle_beta 85.95
_cell_angle_gamma 86.17
_symmetry_space_group_name_H-M 'P 1'
_symmetry_Int_Tables_number 1
_symmetry_space_group_name_Hall 'P 1'
loop_
_atom_site_label
_atom_site_fract_x
_atom_site_fract_y
_atom_site_fract_z
_atom_site_occupancy
Cs1 0.000 0.000 0.000 1
Tm1 0.000 0.000 0.500 1
Sn1 0.473 0.478 0.256 1
Sn2 0.527 0.522 0.744 1
Br1 0.220 0.317 0.469 1
Br2 0.241 0.844 0.304 1
Br3 0.250 0.855 0.702 1
Br4 0.261 0.396 0.055 1
Br5 0.739 0.604 0.945 1
Br6 0.750 0.145 0.298 1
Br7 0.759 0.156 0.696 1
Br8 0.780 0.683 0.531 1

---

What did the first record say?
# Cs4TlSn3Br12, relaxed, DFT GGA-PBE
# Formation energy from raw total energies in meV per atom: -1202
# Total magnetic moment in μB per formula unit: 0.0
# Crystal system: cubic
data_Cs4TlSn3Br12
_chemical_formula_sum 'Cs4 Tl1 Sn3 Br12'
_cell_length_a 10.198
_cell_length_b 10.198
_cell_length_c 10.198
_cell_angle_alpha 109.47
_cell_angle_beta 109.47
_cell_angle_gamma 109.47
_symmetry_space_group_name_H-M 'P 1'
_symmetry_Int_Tables_number 1
_symmetry_space_group_name_Hall 'P 1'
loop_
_atom_site_label
_atom_site_fract_x
_atom_site_fract_y
_atom_site_fract_z
_atom_site_occupancy
Cs1 0.000 0.000 0.500 1
Cs2 0.000 0.500 0.000 1
Cs3 0.500 0.000 0.000 1
Cs4 0.500 0.500 0.500 1
Tl1 0.000 0.000 0.000 1
Sn1 0.000 0.500 0.500 1
Sn2 0.500 0.000 0.500 1
Sn3 0.500 0.500 0.000 1
Br1 0.000 0.259 0.259 1
Br2 0.000 0.741 0.741 1
Br3 0.250 0.500 0.750 1
Br4 0.250 0.750 0.500 1
Br5 0.259 0.000 0.259 1
Br6 0.259 0.259 0.000 1
Br7 0.500 0.250 0.750 1
Br8 0.500 0.750 0.250 1
Br9 0.741 0.000 0.741 1
Br10 0.741 0.741 0.000 1
Br11 0.750 0.250 0.500 1
Br12 0.750 0.500 0.250 1

---

Repeat the second record exactly.
# CsTmSn2Br8, relaxed, DFT GGA-PBE
# Formation energy from raw total energies in meV per atom: -1273
# Total magnetic moment in μB per formula unit: 0.0
# Crystal system: triclinic
data_CsTmSn2Br8
_chemical_formula_sum 'Cs1 Tm1 Sn2 Br8'
_cell_length_a 6.844
_cell_length_b 7.339
_cell_length_c 9.855
_cell_angle_alpha 83.08
_cell_angle_beta 85.95
_cell_angle_gamma 86.17
_symmetry_space_group_name_H-M 'P 1'
_symmetry_Int_Tables_number 1
_symmetry_space_group_name_Hall 'P 1'
loop_
_atom_site_label
_atom_site_fract_x
_atom_site_fract_y
_atom_site_fract_z
_atom_site_occupancy
Cs1 0.000 0.000 0.000 1
Tm1 0.000 0.000 0.500 1
Sn1 0.473 0.478 0.256 1
Sn2 0.527 0.522 0.744 1
Br1 0.220 0.317 0.469 1
Br2 0.241 0.844 0.304 1
Br3 0.250 0.855 0.702 1
Br4 0.261 0.396 0.055 1
Br5 0.739 0.604 0.945 1
Br6 0.750 0.145 0.298 1
Br7 0.759 0.156 0.696 1
Br8 0.780 0.683 0.531 1